P | # Nd3Sm3Tm, relaxed, DFT PBE-GGA
# Space group: R-3
# Volume: 35.0 Å³/atom
data_Nd3Sm3Tm
_chemical_formula_sum 'Nd6 Sm6 Tm2'
_space_group_name_H-M_alt 'P 1'
_space_group_IT_number 1
_cell_length_a 8.9469
_cell_length_b 8.9469
_cell_length_c 8.9469
_cell_angle_alpha 58.63
_cell_angle_beta 58.63
_cell_angle_gamma 58.63
loop_
_space_group_symop_operation_xyz
'x,y,z'
loop_
_atom_site_label
_atom_site_type_symbol
_atom_site_fract_x
_atom_site_fract_y
_atom_site_fract_z
Sm1 Sm 0.2787 0.4327 0.9317
Sm2 Sm 0.0683 0.7213 0.5673
Sm3 Sm 0.4327 0.9317 0.2787
Nd1 Nd 0.1829 0.9373 0.7048
Sm4 Sm 0.5673 0.0683 0.7213
Sm5 Sm 0.7213 0.5673 0.0683
Nd2 Nd 0.7048 0.1829 0.9373
Tm1 Tm 0.3455 0.3455 0.3455
Sm6 Sm 0.9317 0.2787 0.4327
Nd3 Nd 0.2952 0.8171 0.0627
Nd4 Nd 0.0627 0.2952 0.8171
Tm2 Tm 0.6545 0.6545 0.6545
Nd5 Nd 0.8171 0.0627 0.2952
Nd6 Nd 0.9373 0.7048 0.1829

***

Q | # Nd3Sm3Tm, relaxed, DFT PBE-GGA
# Space group: P6_3/m
# Volume: 34.2 Å³/atom
data_Nd3Sm3Tm
_chemical_formula_sum 'Nd6 Sm6 Tm2'
_space_group_name_H-M_alt 'P 1'
_space_group_IT_number 1
_cell_length_a 5.8326
_cell_length_b 9.7318
_cell_length_c 9.7312
_cell_angle_alpha 120.00
_cell_angle_beta 90.00
_cell_angle_gamma 90.00
loop_
_space_group_symop_operation_xyz
'x,y,z'
loop_
_atom_site_label
_atom_site_type_symbol
_atom_site_fract_x
_atom_site_fract_y
_atom_site_fract_z
Sm1 Sm 0.7500 0.6172 0.0953
Nd1 Nd 0.2500 0.8065 0.0480
Sm2 Sm 0.7500 0.9046 0.5220
Nd2 Nd 0.2500 0.2417 0.1937
Sm3 Sm 0.7500 0.4781 0.3827
Tm1 Tm 0.7500 0.3332 0.6667
Nd3 Nd 0.7500 0.0479 0.2416
Nd4 Nd 0.2500 0.9521 0.7584
Nd5 Nd 0.7500 0.1935 0.9520
Tm2 Tm 0.2500 0.6668 0.3333
Nd6 Nd 0.7500 0.7583 0.8063
Sm4 Sm 0.2500 0.0954 0.4780
Sm5 Sm 0.2500 0.5219 0.6173
Sm6 Sm 0.2500 0.3828 0.9047

***

Quick one: least stable of them? P